1.
A plane-wave DFT calculation with meta-GGA SCAN was carried out for a PBEsol-optimized structure of ReNi2.

Properties
Distance to the lowest polymorph of the same formula   0.038 eV per atom
SG   Cmcm

```
ReNi2
1.0
-1.964 1.037 1.280
0.385 -2.875 2.922
5.220 3.416 2.674
Ni Re
4 2
Direct
0.719 0.750 0.439
0.948 0.250 0.896
0.052 0.750 0.104
0.281 0.250 0.561
0.386 0.750 0.771
0.614 0.250 0.229
```

***

2.
A plane-wave DFT calculation with meta-GGA SCAN was carried out for a PBEsol-optimized structure of ReNi2.

Properties
Distance to the lowest polymorph of the same formula   0.069 eV per atom
SG   I4/mmm

```
ReNi2
1.0
2.609 0.000 0.000
0.000 2.609 0.000
-1.304 -1.304 5.212
Re Ni
1 2
Direct
0.000 0.000 0.000
0.669 0.669 0.338
0.331 0.331 0.662
```

***

3.
A plane-wave DFT calculation with meta-GGA SCAN was carried out for a PBEsol-optimized structure of Re5Ni.

Properties
Distance to the lowest polymorph of the same formula   0.035 eV per atom
SG   Amm2

```
Re5Ni
1.0
-0.745 1.060 -2.424
-2.165 -3.638 -0.925
-5.430 2.170 4.176
Ni Re
1 5
Direct
0.997 0.000 0.995
0.777 0.500 0.554
0.665 0.000 0.329
0.447 0.500 0.895
0.338 0.000 0.676
0.109 0.500 0.217
```

***

4.
A plane-wave DFT calculation with meta-GGA SCAN was carried out for a PBEsol-optimized structure of ReNi3.

Properties
VASP energy   -29.84 eV/atom
SG   P4/mmm

```
ReNi3
1.0
2.571 0.000 0.000
0.000 2.571 0.000
0.000 0.000 6.940
Re Ni
1 3
Direct
0.500 0.500 0.000
0.000 0.000 0.740
0.000 0.000 0.260
0.500 0.500 0.500
```

***

5.
A plane-wave DFT calculation with meta-GGA SCAN was carried out for a PBEsol-optimized structure of ReNi2.

Properties
Distance to the lowest polymorph of the same formula   0.023 eV per atom
SG   Immm

```
ReNi2
1.0
-2.471 0.533 0.465
-0.560 -3.470 0.999
2.371 2.347 2.802
Re Ni
1 2
Direct
0.000 0.000 0.000
0.334 0.334 0.667
0.666 0.666 0.333
```

***

6.
A plane-wave DFT calculation with meta-GGA SCAN was carried out for a PBEsol-optimized structure of ReNi3.

Properties
VASP energy   -29.88 eV/atom
SG   Pmmn

```
ReNi3
1.0
4.149 0.000 0.000
0.000 4.351 0.000
0.000 0.000 5.001
Ni Re
6 2
Direct
0.500 0.342 0.000
0.000 0.162 0.748
0.500 0.838 0.752
0.000 0.658 0.500
0.000 0.162 0.252
0.500 0.838 0.248
0.000 0.662 0.000
0.500 0.338 0.500
```

***

7.
A plane-wave DFT calculation with meta-GGA SCAN was carried out for a PBEsol-optimized structure of ReNi2.

Properties
Distance to the lowest polymorph of the same formula   0.044 eV per atom
SG   P6_3/mmc

```
ReNi2
1.0
4.600 0.000 0.000
-2.300 3.983 0.000
0.000 0.000 14.985
Ni Re
16 8
Direct
0.333 0.667 0.875
0.667 0.333 0.125
0.667 0.333 0.375
0.333 0.667 0.625
0.000 0.500 0.000
0.500 0.000 0.000
0.500 0.500 0.000
0.000 0.500 0.500
0.500 0.000 0.500
0.500 0.500 0.500
0.673 0.837 0.750
0.163 0.327 0.750
0.163 0.837 0.750
0.327 0.163 0.250
0.837 0.673 0.250
0.837 0.163 0.250
0.000 0.000 0.905
0.000 0.000 0.095
0.000 0.000 0.405
0.000 0.000 0.595
0.333 0.667 0.157
0.667 0.333 0.843
0.667 0.333 0.657
0.333 0.667 0.343
```

***

8.
A plane-wave DFT calculation with meta-GGA SCAN was carried out for a PBEsol-optimized structure of ReNi2.

Properties
Distance to the lowest polymorph of the same formula   0.052 eV per atom
SG   Pnma

```
ReNi2
1.0
3.548 0.000 0.000
0.000 5.168 0.000
0.000 0.000 7.709
Ni Re
8 4
Direct
0.750 0.870 0.750
0.750 0.882 0.415
0.250 0.618 0.915
0.250 0.630 0.250
0.750 0.370 0.750
0.750 0.382 0.085
0.250 0.118 0.585
0.250 0.130 0.250
0.750 0.875 0.079
0.250 0.625 0.579
0.750 0.375 0.421
0.250 0.125 0.921
```

***

Number 1: V 70.3 Å³ per cell, spin magnetization 0.00 μB/atom. Number 2: V 35.5 Å³ per cell, spin magnetization 0.00 μB/atom. Number 3: V 84.0 Å³ per cell, spin magnetization 0.00 μB/atom. Number 4: V 45.9 Å³ per cell, spin magnetization 0.18 μB/atom. Number 5: V 35.1 Å³ per cell, spin magnetization 0.00 μB/atom. Number 6: V 90.3 Å³ per cell, spin magnetization 0.00 μB/atom. Number 7: V 274.6 Å³ per cell, spin magnetization 0.39 μB/atom. Number 8: V 141.4 Å³ per cell, spin magnetization 0.00 μB/atom.